Model w:
VASP calculation (GGA-PBE) on a geometry-optimized Os2W3 structure.

Computed properties:
Space-group type ... P-3m1, No. 164
Crystal system ... trigonal

Cell: 4.284 4.284 5.420 Å, 90.00 90.00 120.00°
Fractional positions:
Os: 0.667 0.333 0.159
Os: 0.333 0.667 0.841
W: 0.000 0.000 0.000
W: 0.667 0.333 0.636
W: 0.333 0.667 0.364

=====

Model x:
VASP calculation (GGA-PBE) on a geometry-optimized Os2W3 structure.

Computed properties:
Space-group type ... Fdd2, No. 43
Crystal system ... orthorhombic

Cell: 8.185 7.132 5.336 Å, 80.67 59.29 40.04°
Fractional positions:
Os: 0.548 0.351 0.896
Os: 0.206 0.896 0.351
Os: 0.899 0.702 0.044
Os: 0.354 0.044 0.702
W: 0.428 0.366 0.460
W: 0.747 0.460 0.366
W: 0.884 0.822 0.503
W: 0.790 0.503 0.822
W: 0.072 0.928 0.928
W: 0.322 0.178 0.178

=====

We find model x to be the most stable, with the next structure 32.6 kJ/mol of atoms higher.

=====

Model w:
VASP calculation (GGA-PBE) on a geometry-optimized Os5W3 structure.

Computed properties:
Space-group type ... Cmmm, No. 65
Crystal system ... orthorhombic

Cell: 5.555 5.555 3.897 Å, 90.00 90.00 90.59°
Fractional positions:
Os: 0.000 0.000 0.000
Os: 0.500 0.000 0.000
Os: 0.000 0.500 0.000
Os: 0.751 0.751 0.500
Os: 0.249 0.249 0.500
W: 0.500 0.500 0.000
W: 0.759 0.241 0.500
W: 0.241 0.759 0.500

=====

Model x:
VASP calculation (GGA-PBE) on a geometry-optimized Os5W3 structure.

Computed properties:
Space-group type ... P2_1/m, No. 11
Crystal system ... monoclinic

Cell: 6.123 9.245 4.903 Å, 90.00 90.00 66.24°
Fractional positions:
Os: 0.806 0.213 0.250
Os: 0.194 0.787 0.750
Os: 0.165 0.948 0.250
Os: 0.011 0.261 0.750
Os: 0.615 0.715 0.001
Os: 0.615 0.715 0.499
Os: 0.385 0.285 0.999
Os: 0.385 0.285 0.501
Os: 0.835 0.052 0.750
Os: 0.989 0.739 0.250
W: 0.593 0.453 0.750
W: 0.407 0.547 0.250
W: 0.395 0.007 0.750
W: 0.956 0.434 0.250
W: 0.605 0.993 0.250
W: 0.044 0.566 0.750

=====

Model y:
VASP calculation (GGA-PBE) on a geometry-optimized Os5W3 structure.

Computed properties:
Space-group type ... Cm, No. 8
Crystal system ... monoclinic

Cell: 4.896 7.019 8.439 Å, 98.00 113.53 69.59°
Fractional positions:
Os: 0.827 0.500 0.561
Os: 0.276 0.500 0.452
Os: 0.200 0.855 0.302
Os: 0.776 0.156 0.688
Os: 0.322 0.290 0.835
Os: 0.670 0.702 0.179
Os: 0.432 0.844 0.688
Os: 0.555 0.145 0.302
Os: 0.872 0.298 0.179
Os: 0.112 0.710 0.835
W: 0.200 0.059 0.001
W: 0.759 0.941 0.001
W: 0.719 0.500 0.861
W: 0.252 0.500 0.125
W: 0.851 0.833 0.500
W: 0.183 0.167 0.500

=====

We find model w to be the most stable, with the next structure 25.4 kJ/mol of atoms higher.

=====

Model w:
VASP calculation (GGA-PBE) on a geometry-optimized Os3W4 structure.

Computed properties:
Space-group type ... P6/mmm, No. 191
Crystal system ... hexagonal

Cell: 5.099 5.099 4.906 Å, 90.00 90.00 120.00°
Fractional positions:
Os: 0.000 0.500 0.000
Os: 0.500 0.500 0.000
Os: 0.500 0.000 0.000
W: 0.000 0.000 0.256
W: 0.000 0.000 0.744
W: 0.667 0.333 0.500
W: 0.333 0.667 0.500

=====

Model x:
VASP calculation (GGA-PBE) on a geometry-optimized Os3W4 structure.

Computed properties:
Space-group type ... I4/mmm, No. 139
Crystal system ... tetragonal

Cell: 10.869 10.869 10.869 Å, 163.01 163.01 24.12°
Fractional positions:
Os: 0.000 0.000 0.000
Os: 0.709 0.709 0.000
Os: 0.291 0.291 0.000
W: 0.853 0.853 0.000
W: 0.573 0.573 0.000
W: 0.427 0.427 0.000
W: 0.147 0.147 0.000

=====

We find model w to be the most stable, with the next structure 13.8 kJ/mol of atoms higher.

=====

Model w:
VASP calculation (GGA-PBE) on a geometry-optimized Os4W3 structure.

Computed properties:
Space-group type ... P6/mmm, No. 191
Crystal system ... hexagonal

Cell: 5.064 5.064 4.942 Å, 90.00 90.00 120.00°
Fractional positions:
Os: 0.000 0.000 0.258
Os: 0.000 0.000 0.742
Os: 0.667 0.333 0.500
Os: 0.333 0.667 0.500
W: 0.000 0.500 0.000
W: 0.500 0.500 0.000
W: 0.500 0.000 0.000

=====

Model x:
VASP calculation (GGA-PBE) on a geometry-optimized Os4W3 structure.

Computed properties:
Space-group type ... I4/mmm, No. 139
Crystal system ... tetragonal

Cell: 10.691 10.691 10.691 Å, 162.67 162.67 24.60°
Fractional positions:
Os: 0.853 0.853 0.000
Os: 0.566 0.566 0.000
Os: 0.434 0.434 0.000
Os: 0.147 0.147 0.000
W: 0.000 0.000 0.000
W: 0.711 0.711 0.000
W: 0.289 0.289 0.000

=====

We find model x to be the most stable, with the next structure 9.0 kJ/mol of atoms higher.

=====

Model w:
VASP calculation (GGA-PBE) on a geometry-optimized YOsW structure.

Computed properties:
Space-group type ... F-43m, No. 216
Crystal system ... cubic

Cell: 4.533 4.533 4.533 Å, 60.00 60.00 60.00°
Each line ends with the local moment (μB).
Fractional positions:
Os: 0.000 0.000 0.000  -0.11
W: 0.500 0.500 0.500  1.30
Y: 0.750 0.750 0.750  0.15

=====

Model x:
VASP calculation (GGA-PBE) on a geometry-optimized YOsW structure.

Computed properties:
Space-group type ... P3m1, No. 156
Crystal system ... trigonal

Cell: 3.017 3.017 7.109 Å, 90.00 90.00 120.00°
Fractional positions:
Os: 0.000 0.000 0.025
W: 0.667 0.333 0.305
Y: 0.333 0.667 0.670

=====

We find model x to be the most stable, with the next structure 132.8 kJ/mol of atoms higher.

=====

Model w:
VASP calculation (GGA-PBE) on a geometry-optimized YOsW structure.

Computed properties:
Space-group type ... I4mm, No. 107
Crystal system ... tetragonal

Cell: 6.312 6.313 3.137 Å, 75.61 75.61 28.78°
Fractional positions:
Os: 0.025 0.025 0.975
W: 0.639 0.639 0.361
Y: 0.336 0.336 0.664

=====

Model x:
VASP calculation (GGA-PBE) on a geometry-optimized YOsW structure.

Computed properties:
Space-group type ... Imma, No. 74
Crystal system ... orthorhombic

Cell: 5.409 5.409 5.409 Å, 93.01 120.26 116.34°
Fractional positions:
Y: 0.250 0.120 0.870
Y: 0.750 0.880 0.130
Os: 0.000 0.500 0.500
Os: 0.500 0.000 0.500
W: 0.500 0.500 0.500
W: 0.000 0.500 0.000

=====

Model y:
VASP calculation (GGA-PBE) on a geometry-optimized YOsW structure.

Computed properties:
Space-group type ... Cmcm, No. 63
Crystal system ... orthorhombic

Cell: 4.292 4.492 7.263 Å, 90.00 107.19 90.00°
Fractional positions:
Os: 0.658 0.250 0.315
Os: 0.342 0.750 0.685
Y: 0.914 0.250 0.828
Y: 0.086 0.750 0.172
W: 0.250 0.250 0.501
W: 0.750 0.750 0.499

=====

We find model x to be the most stable, with the next structure 29.1 kJ/mol of atoms higher.

=====

Model w:
VASP calculation (GGA-PBE) on a geometry-optimized YOsW2 structure.

Computed properties:
Space-group type ... Fm-3m, No. 225
Crystal system ... cubic

Cell: 4.596 4.596 4.596 Å, 60.00 60.00 60.00°
Fractional positions:
Y: 0.000 0.000 0.000
Os: 0.500 0.500 0.500
W: 0.250 0.250 0.250
W: 0.750 0.750 0.750

=====

Model x:
VASP calculation (GGA-PBE) on a geometry-optimized YOsW2 structure.

Computed properties:
Space-group type ... P2/m, No. 10
Crystal system ... monoclinic

Cell: 4.629 2.892 5.359 Å, 78.51 90.00 90.00°
Fractional positions:
Os: 0.500 0.750 0.750
W: 0.000 0.986 0.991
W: 0.000 0.514 0.509
Y: 0.500 0.250 0.250

=====

We find model x to be the most stable, with the next structure 4.4 kJ/mol of atoms higher.

=====

Model w:
VASP calculation (GGA-PBE) on a geometry-optimized YOsW2 structure.

Computed properties:
Space-group type ... P4/mmm, No. 123
Crystal system ... tetragonal

Cell: 2.927 2.927 8.488 Å, 90.00 90.00 89.98°
Fractional positions:
Os: 0.500 0.500 0.750
W: 0.000 0.000 0.960
W: 0.000 0.000 0.540
Y: 0.500 0.500 0.250

=====

Model x:
VASP calculation (GGA-PBE) on a geometry-optimized YOsW2 structure.

Computed properties:
Space-group type ... R-3m, No. 166
Crystal system ... trigonal

Cell: 9.868 9.868 9.868 Å, 17.00 17.00 17.00°
Fractional positions:
Os: 0.750 0.750 0.750
W: 0.009 0.009 0.009
W: 0.491 0.491 0.491
Y: 0.250 0.250 0.250

=====

We find model w to be the most stable, with the next structure 17.8 kJ/mol of atoms higher.

=====

Model w:
VASP calculation (GGA-PBE) on a geometry-optimized YOsW2 structure.

Computed properties:
Space-group type ... Pmmm, No. 47
Crystal system ... orthorhombic

Cell: 2.900 4.360 5.748 Å, 90.00 90.00 90.00°
Fractional positions:
Os: 0.500 0.500 0.750
W: 0.000 0.000 0.966
W: 0.000 0.000 0.534
Y: 0.500 0.500 0.250

=====

Model x:
VASP calculation (GGA-PBE) on a geometry-optimized YOsW2 structure.

Computed properties:
Space-group type ... R3m, No. 160
Crystal system ... trigonal

Cell: 9.837 9.837 9.837 Å, 17.06 17.06 17.06°
Fractional positions:
Os: 0.742 0.742 0.742
W: 0.004 0.004 0.004
W: 0.256 0.256 0.256
Y: 0.498 0.498 0.498

=====

Model y:
VASP calculation (GGA-PBE) on a geometry-optimized YOsW2 structure.

Computed properties:
Space-group type ... Pmmm, No. 47
Crystal system ... orthorhombic

Cell: 3.225 4.563 4.804 Å, 90.00 90.00 90.00°
Fractional positions:
Os: 0.000 0.500 0.500
W: 0.000 0.000 0.000
W: 0.500 0.500 0.000
Y: 0.500 0.000 0.500

=====

Model z:
VASP calculation (GGA-PBE) on a geometry-optimized YOsW2 structure.

Computed properties:
Space-group type ... P4mm, No. 99
Crystal system ... tetragonal

Cell: 3.221 3.221 7.021 Å, 90.00 90.00 90.00°
Fractional positions:
Os: 0.500 0.500 0.787
W: 0.000 0.000 0.999
W: 0.500 0.500 0.212
Y: 0.000 0.000 0.502

=====

We find model z to be the most stable, with the next structure 12.0 kJ/mol of atoms higher.

=====

Model w:
VASP calculation (GGA-PBE) on a geometry-optimized YOsW2 structure.

Computed properties:
Space-group type ... Pm, No. 6
Crystal system ... monoclinic

Cell: 4.426 2.914 5.645 Å, 80.05 90.00 90.00°
Fractional positions:
Os: 0.500 0.759 0.777
W: 0.000 0.010 0.000
W: 0.500 0.231 0.217
Y: 0.000 0.500 0.506

=====

Model x:
VASP calculation (GGA-PBE) on a geometry-optimized YOsW2 structure.

Computed properties:
Space-group type ... I4/mmm, No. 139
Crystal system ... tetragonal

Cell: 5.511 5.511 5.511 Å, 138.59 138.59 60.00°
Fractional positions:
Os: 0.750 0.250 0.500
W: 0.000 0.000 0.000
W: 0.500 0.500 0.000
Y: 0.250 0.750 0.500

=====

Model y:
VASP calculation (GGA-PBE) on a geometry-optimized YOsW2 structure.

Computed properties:
Space-group type ... Cm, No. 8
Crystal system ... monoclinic

Cell: 5.471 5.471 4.851 Å, 63.48 63.48 33.87°
Fractional positions:
Os: 0.732 0.732 0.767
W: 0.000 0.000 0.000
W: 0.270 0.270 0.231
Y: 0.497 0.497 0.503

=====

We find model w to be the most stable, with the next structure 1.8 kJ/mol of atoms higher.

=====

Model w:
VASP calculation (GGA-PBE) on a geometry-optimized YOsW2 structure.

Computed properties:
Space-group type ... F-43m, No. 216
Crystal system ... cubic

Cell: 4.623 4.623 4.623 Å, 60.00 60.00 60.00°
Fractional positions:
Os: 0.500 0.500 0.500
W: 0.000 0.000 0.000
W: 0.750 0.750 0.750
Y: 0.250 0.250 0.250

=====

Model x:
VASP calculation (GGA-PBE) on a geometry-optimized YOsW2 structure.

Computed properties:
Space-group type ... Cmm2, No. 35
Crystal system ... orthorhombic

Cell: 2.856 2.856 9.232 Å, 90.00 90.00 110.07°
Fractional positions:
Os: 0.500 0.500 0.769
W: 0.000 0.000 0.994
W: 0.500 0.500 0.227
Y: 0.000 0.000 0.510

=====

Model y:
VASP calculation (GGA-PBE) on a geometry-optimized YOsW2 structure.

Computed properties:
Space-group type ... Cmmm, No. 65
Crystal system ... orthorhombic

Cell: 5.414 5.414 2.815 Å, 90.00 90.00 120.21°
Fractional positions:
Os: 0.000 0.500 0.500
W: 0.000 0.000 0.000
W: 0.500 0.500 0.000
Y: 0.500 0.000 0.500

=====

We find model w to be the most stable, with the next structure 10.0 kJ/mol of atoms higher.